[1]
A plane-wave DFT calculation with PBE-GGA was carried out for In5Ga2Bi after structural relaxation.

abc: 5.503 5.503 17.337
angles: 90.00 90.00 121.08
Atoms (fractional coordinates):
In (0.074, 0.926, 0.588)
In (0.074, 0.926, 0.912)
In (0.409, 0.591, 0.585)
In (0.409, 0.591, 0.915)
In (0.413, 0.587, 0.250)
In (0.587, 0.413, 0.750)
In (0.591, 0.409, 0.085)
In (0.591, 0.409, 0.415)
In (0.926, 0.074, 0.088)
In (0.926, 0.074, 0.412)
Ga (0.252, 0.748, 0.073)
Ga (0.252, 0.748, 0.427)
Ga (0.748, 0.252, 0.573)
Ga (0.748, 0.252, 0.927)
Bi (0.244, 0.756, 0.750)
Bi (0.756, 0.244, 0.250)

Properties
* total energy: -45.91 eV/cell
* E_form: 84 meV/atom
* size of the total moment: 0.00 μB per cell


[2]
A plane-wave DFT calculation with PBE-GGA was carried out for Pm12Tl5Pb2 after structural relaxation.

abc: 9.955 9.955 9.457
angles: 90.33 90.33 42.10
Atoms (fractional coordinates):
Pm (0.017, 0.017, 0.193)
Pm (0.083, 0.583, 0.428)
Pm (0.102, 0.604, 0.027)
Pm (0.396, 0.898, 0.973)
Pm (0.417, 0.917, 0.572)
Pm (0.429, 0.429, 0.709)
Pm (0.571, 0.571, 0.291)
Pm (0.583, 0.083, 0.428)
Pm (0.604, 0.102, 0.027)
Pm (0.898, 0.396, 0.973)
Pm (0.917, 0.417, 0.572)
Pm (0.983, 0.983, 0.807)
Tl (0.204, 0.204, 0.253)
Tl (0.264, 0.264, 0.776)
Tl (0.500, 0.500, 0.000)
Tl (0.736, 0.736, 0.224)
Tl (0.796, 0.796, 0.747)
Pb (0.215, 0.785, 0.500)
Pb (0.785, 0.215, 0.500)

Properties
* total energy: -79.17 eV/cell
* E_form: -153 meV/atom
* size of the total moment: 0.41 μB per cell


[3]
A plane-wave DFT calculation with PBE-GGA was carried out for K2RbPd after structural relaxation.

abc: 4.196 4.196 11.183
angles: 90.00 90.00 90.00
Atoms (fractional coordinates):
K (0.000, 0.000, 0.153)
K (0.000, 0.000, 0.847)
Rb (0.500, 0.500, 0.500)
Pd (0.500, 0.500, 0.000)

Properties
* total energy: -7.76 eV/cell
* E_form: 149 meV/atom
* size of the total moment: 0.00 μB per cell


[4]
A plane-wave DFT calculation with PBE-GGA was carried out for SrGeP2 after structural relaxation.

abc: 3.788 3.788 12.821
angles: 90.00 90.00 90.00
Atoms (fractional coordinates):
Sr (0.000, 0.000, 0.000)
Sr (0.500, 0.500, 0.500)
Ge (0.000, 0.500, 0.750)
Ge (0.500, 0.000, 0.250)
P (0.000, 0.000, 0.365)
P (0.000, 0.000, 0.635)
P (0.500, 0.500, 0.135)
P (0.500, 0.500, 0.865)

Properties
* total energy: -37.68 eV/cell
* E_form: -430 meV/atom
* size of the total moment: 0.00 μB per cell


[5]
A plane-wave DFT calculation with PBE-GGA was carried out for NiAg3 after structural relaxation.

abc: 9.052 9.052 2.764
angles: 90.00 90.00 120.00
Atoms (fractional coordinates):
Ni (0.000, 0.000, 0.000)
Ni (0.333, 0.667, 0.667)
Ni (0.667, 0.333, 0.333)
Ag (0.000, 0.500, 0.000)
Ag (0.167, 0.333, 0.333)
Ag (0.167, 0.833, 0.333)
Ag (0.333, 0.167, 0.667)
Ag (0.500, 0.000, 0.000)
Ag (0.500, 0.500, 0.000)
Ag (0.667, 0.833, 0.333)
Ag (0.833, 0.167, 0.667)
Ag (0.833, 0.667, 0.667)

Properties
* total energy: -40.15 eV/cell
* E_form: 238 meV/atom
* size of the total moment: 0.25 μB per cell


[6]
A plane-wave DFT calculation with PBE-GGA was carried out for Nd5Sm6Ho after structural relaxation.

abc: 6.308 6.308 12.085
angles: 95.01 95.01 119.99
Atoms (fractional coordinates):
Nd (0.000, 0.000, 0.000)
Nd (0.167, 0.833, 0.500)
Nd (0.333, 0.667, 0.000)
Nd (0.667, 0.333, 0.000)
Nd (0.833, 0.167, 0.500)
Sm (0.085, 0.417, 0.251)
Sm (0.251, 0.251, 0.749)
Sm (0.417, 0.085, 0.251)
Sm (0.583, 0.915, 0.749)
Sm (0.749, 0.749, 0.251)
Sm (0.915, 0.583, 0.749)
Ho (0.500, 0.500, 0.500)

Properties
* total energy: -56.57 eV/cell
* E_form: 14 meV/atom
* size of the total moment: 0.00 μB per cell


[7]
A plane-wave DFT calculation with PBE-GGA was carried out for RbTaP2 after structural relaxation.

abc: 6.793 6.793 6.793
angles: 90.00 90.00 90.00
Atoms (fractional coordinates):
Rb (0.000, 0.000, 0.000)
Rb (0.000, 0.500, 0.500)
Rb (0.500, 0.000, 0.500)
Rb (0.500, 0.500, 0.000)
Ta (0.000, 0.000, 0.500)
Ta (0.000, 0.500, 0.000)
Ta (0.500, 0.000, 0.000)
Ta (0.500, 0.500, 0.500)
P (0.250, 0.250, 0.250)
P (0.250, 0.250, 0.750)
P (0.250, 0.750, 0.250)
P (0.250, 0.750, 0.750)
P (0.750, 0.250, 0.250)
P (0.750, 0.250, 0.750)
P (0.750, 0.750, 0.250)
P (0.750, 0.750, 0.750)

Properties
* total energy: -83.49 eV/cell
* E_form: 692 meV/atom
* size of the total moment: 0.00 μB per cell


[8]
A plane-wave DFT calculation with PBE-GGA was carried out for ReOs2Se after structural relaxation.

abc: 2.883 4.550 4.604
angles: 90.00 90.00 90.00
Atoms (fractional coordinates):
Re (0.000, 0.000, 0.000)
Os (0.000, 0.500, 0.500)
Os (0.500, 0.500, 0.000)
Se (0.500, 0.000, 0.500)

Properties
* formation energy (no corrections): 758.6 meV/atom
* total energy: -35.36 eV/cell
* size of the total moment: 0.00 μB per cell


Look up the size of the total moment of the eighth one. 0.00 μB per cell


Copy entry 2 word for word.
A plane-wave DFT calculation with PBE-GGA was carried out for Pm12Tl5Pb2 after structural relaxation.

abc: 9.955 9.955 9.457
angles: 90.33 90.33 42.10
Atoms (fractional coordinates):
Pm (0.017, 0.017, 0.193)
Pm (0.083, 0.583, 0.428)
Pm (0.102, 0.604, 0.027)
Pm (0.396, 0.898, 0.973)
Pm (0.417, 0.917, 0.572)
Pm (0.429, 0.429, 0.709)
Pm (0.571, 0.571, 0.291)
Pm (0.583, 0.083, 0.428)
Pm (0.604, 0.102, 0.027)
Pm (0.898, 0.396, 0.973)
Pm (0.917, 0.417, 0.572)
Pm (0.983, 0.983, 0.807)
Tl (0.204, 0.204, 0.253)
Tl (0.264, 0.264, 0.776)
Tl (0.500, 0.500, 0.000)
Tl (0.736, 0.736, 0.224)
Tl (0.796, 0.796, 0.747)
Pb (0.215, 0.785, 0.500)
Pb (0.785, 0.215, 0.500)

Properties
* total energy: -79.17 eV/cell
* E_form: -153 meV/atom
* size of the total moment: 0.41 μB per cell


Among the records above, which one has the highest total energy? K2RbPd


The highest total energy belongs to which entry? K2RbPd